1.
Below is a relaxed NaCdSb2Te crystal, with properties calculated at the PBE level.

Summary:
symmetry: P4/mmm, No. 123
volume: 163.75 Å³/cell
M_tot: 0.0 μB per formula unit
E above lowest polymorph: 327 meV/atom
raw formation energy: 654 meV per atom

CIF file:
```
data_NaCdSb2Te
_chemical_formula_sum 'Na1 Cd1 Sb2 Te1'
_symmetry_space_group_name_H-M 'P 1'
_symmetry_Int_Tables_number 1
_cell_length_a 5.457
_cell_length_b 5.457
_cell_length_c 5.499
_cell_angle_alpha 90.00
_cell_angle_beta 90.00
_cell_angle_gamma 90.00
loop_
_symmetry_equiv_pos_as_xyz
'x,y,z'
loop_
_atom_site_label
_atom_site_fract_x
_atom_site_fract_y
_atom_site_fract_z
Na1 0.000 0.000 0.000
Cd1 0.500 0.500 0.500
Sb1 0.000 0.500 0.000
Sb2 0.500 0.000 0.000
Te1 0.000 0.000 0.500
```

2.
Below is a relaxed NaCdSb2Te crystal, with properties calculated at the PBE level.

Summary:
symmetry: P4/mmm, No. 123
volume: 181.39 Å³/cell
M_tot: 0.2 μB per formula unit
E above lowest polymorph: 0 meV/atom
raw formation energy: 327 meV per atom

CIF file:
```
data_NaCdSb2Te
_chemical_formula_sum 'Na1 Cd1 Sb2 Te1'
_symmetry_space_group_name_H-M 'P 1'
_symmetry_Int_Tables_number 1
_cell_length_a 5.546
_cell_length_b 5.546
_cell_length_c 5.897
_cell_angle_alpha 90.00
_cell_angle_beta 90.00
_cell_angle_gamma 90.00
loop_
_symmetry_equiv_pos_as_xyz
'x,y,z'
loop_
_atom_site_label
_atom_site_fract_x
_atom_site_fract_y
_atom_site_fract_z
Te1 0.000 0.000 0.500
Cd1 0.000 0.000 0.000
Sb1 0.500 0.000 0.000
Na1 0.500 0.500 0.500
Sb2 0.000 0.500 0.000
```

3.
Below is a relaxed Na4CdSb3Te8 crystal, with properties calculated at the PBE level.

Summary:
symmetry: R-3m, No. 166
volume: 507.98 Å³/cell
M_tot: 0.0 μB per formula unit
raw formation energy: -444 meV per atom

CIF file:
```
data_Na4CdSb3Te8
_chemical_formula_sum 'Na4 Cd1 Sb3 Te8'
_symmetry_space_group_name_H-M 'P 1'
_symmetry_Int_Tables_number 1
_cell_length_a 8.733
_cell_length_b 9.196
_cell_length_c 8.734
_cell_angle_alpha 118.36
_cell_angle_beta 120.00
_cell_angle_gamma 90.00
loop_
_symmetry_equiv_pos_as_xyz
'x,y,z'
loop_
_atom_site_label
_atom_site_fract_x
_atom_site_fract_y
_atom_site_fract_z
Na1 0.500 0.000 0.000
Te1 0.745 0.728 0.987
Te2 0.759 0.272 0.517
Sb1 0.000 0.500 0.500
Te3 0.241 0.728 0.987
Te4 0.241 0.728 0.483
Sb2 0.500 0.500 0.500
Na2 0.000 0.000 0.500
Te5 0.744 0.731 0.487
Cd1 0.000 0.500 0.000
Sb3 0.500 0.500 0.000
Te6 0.255 0.272 0.013
Na3 0.000 0.000 0.000
Te7 0.759 0.272 0.013
Na4 0.500 0.000 0.500
Te8 0.256 0.269 0.513
```